Compound: ScMoN2O
Source: Alexandria via LeMat-Bulk
Functional: PBE+U
Structure: optimized geometry

POSCAR file:
```
ScMoN2O
1.0
3.966 0.000 0.000
0.000 3.966 0.000
0.000 0.000 3.858
Sc N O Mo
1 2 1 1
Cartesian
1.983 1.983 1.929
1.983 0.000 0.000
0.000 1.983 0.000
0.000 0.000 1.929
0.000 0.000 0.000
```

**Symmetry**: P4/mmm, No. 123
**E**: -0.559 Ry/atom